(1)
DFT (PBE) results for crystalline TaCr2Cu at its relaxed geometry.

Properties
**Total magnetic moment**: 0.0 μB per formula unit
**Space group**: Cmmm (65)
**Formation energy from the elements**: 423 meV per atom

a = 4.889 Å, b = 4.889 Å, c = 2.539 Å
α = 90.00°, β = 90.00°, γ = 115.11°
Element x y z (fractional)
Ta  0.000  0.000  0.000
Cr  0.000  0.500  0.500
Cr  0.500  0.000  0.500
Cu  0.500  0.500  0.000

***

(2)
DFT (PBE) results for crystalline TaCr2Cu at its relaxed geometry.

Properties
**Total magnetic moment**: 0.4 μB per formula unit
**Space group**: P4mm (99)
**Formation energy from the elements**: 162 meV per atom

a = 2.921 Å, b = 2.921 Å, c = 6.416 Å
α = 90.00°, β = 90.00°, γ = 90.00°
Element x y z (fractional)
Ta  0.000  0.000  0.000
Cr  0.000  0.000  0.471
Cr  0.500  0.500  0.278
Cu  0.500  0.500  0.712

***

(3)
DFT (PBE) results for crystalline TaCr2Cu at its relaxed geometry.

Properties
**Total magnetic moment**: 0.5 μB per formula unit
**Space group**: F-43m (216)
**Formation energy from the elements**: 265 meV per atom

a = 4.267 Å, b = 4.267 Å, c = 4.267 Å
α = 60.00°, β = 60.00°, γ = 60.00°
Element x y z (fractional)
Ta  0.000  0.000  0.000
Cr  0.500  0.500  0.500
Cr  0.750  0.750  0.750
Cu  0.250  0.250  0.250

***

(4)
DFT (PBE) results for crystalline TaCr2Cu at its relaxed geometry.

Properties
**Total magnetic moment**: 0.0 μB per formula unit
**Space group**: R-3m (166)
**Formation energy from the elements**: 533 meV per atom

a = 9.210 Å, b = 9.210 Å, c = 9.210 Å
α = 16.63°, β = 16.63°, γ = 16.63°
Element x y z (fractional)
Ta  0.000  0.000  0.000
Cr  0.245  0.245  0.245
Cr  0.755  0.755  0.755
Cu  0.500  0.500  0.500

***

(5)
DFT (PBE) results for crystalline TaCr2Cu at its relaxed geometry.

Properties
**Total magnetic moment**: 0.0 μB per formula unit
**Space group**: P2/m (10)
**Formation energy from the elements**: 319 meV per atom

a = 2.579 Å, b = 4.314 Å, c = 4.915 Å
α = 90.00°, β = 98.15°, γ = 90.00°
Element x y z (fractional)
Ta  0.000  0.000  0.000
Cr  0.237  0.500  0.742
Cr  0.763  0.500  0.258
Cu  0.500  0.000  0.500

***

(6)
DFT (PBE) results for crystalline TaCrCu at its relaxed geometry.

Properties
**Total magnetic moment**: 0.0 μB per formula unit
**Excess energy over the best structure of this formula in the dataset**: 0.0322 eV per atom
**Space group**: Fmm2 (42)
**Formation energy from the elements**: 256 meV per atom

a = 6.610 Å, b = 6.478 Å, c = 2.646 Å
α = 81.15°, β = 75.55°, γ = 23.30°
Element x y z (fractional)
Ta  0.000  0.000  0.000
Cr  0.329  0.329  0.671
Cu  0.675  0.675  0.325

***

(7)
DFT (PBE) results for crystalline TaCrCu at its relaxed geometry.

Properties
**Total magnetic moment**: 2.2 μB per formula unit
**Excess energy over the best structure of this formula in the dataset**: 0.8967 eV per atom
**Space group**: F-43m (216)
**Formation energy from the elements**: 1120 meV per atom

a = 4.218 Å, b = 4.218 Å, c = 4.218 Å
α = 60.00°, β = 60.00°, γ = 60.00°
Element x y z (fractional)
Ta  0.000  0.000  0.000
Cr  0.750  0.750  0.750
Cu  0.250  0.250  0.250

***

(8)
DFT (PBE) results for crystalline TaCr2Cu at its relaxed geometry.

Properties
**Total magnetic moment**: 0.0 μB per formula unit
**Space group**: Cm (8)
**Formation energy from the elements**: 375 meV per atom

a = 4.567 Å, b = 4.567 Å, c = 4.882 Å
α = 95.12°, β = 95.12°, γ = 32.64°
Element x y z (fractional)
Ta  0.000  0.000  0.000
Cr  0.242  0.242  0.717
Cr  0.484  0.484  0.497
Cu  0.747  0.747  0.245

***

(9)
DFT (PBE) results for crystalline TaCr4Cu at its relaxed geometry.

Properties
**Total magnetic moment**: 0.0 μB per formula unit
**Space group**: F-43m (216)
**Formation energy from the elements**: 193 meV per atom

a = 4.807 Å, b = 4.807 Å, c = 4.807 Å
α = 60.00°, β = 60.00°, γ = 60.00°
Element x y z (fractional)
Ta  0.000  0.000  0.000
Cr  0.376  0.376  0.376
Cr  0.376  0.376  0.873
Cr  0.376  0.873  0.376
Cr  0.873  0.376  0.376
Cu  0.750  0.750  0.750

***

(10)
DFT (PBE) results for crystalline TaCr2Cu at its relaxed geometry.

Properties
**Total magnetic moment**: 0.0 μB per formula unit
**Space group**: Cmm2 (35)
**Formation energy from the elements**: 225 meV per atom

a = 2.621 Å, b = 2.621 Å, c = 8.374 Å
α = 90.00°, β = 90.00°, γ = 109.13°
Element x y z (fractional)
Ta  0.000  0.000  0.000
Cr  0.000  0.000  0.516
Cr  0.500  0.500  0.732
Cu  0.500  0.500  0.271

***

(11)
DFT (PBE) results for crystalline TaCr2Cu at its relaxed geometry.

Properties
**Total magnetic moment**: 1.1 μB per formula unit
**Space group**: Pmmm (47)
**Formation energy from the elements**: 242 meV per atom

a = 3.183 Å, b = 4.123 Å, c = 4.182 Å
α = 90.00°, β = 90.00°, γ = 90.00°
Element x y z (fractional)
Ta  0.000  0.000  0.000
Cr  0.000  0.500  0.500
Cr  0.500  0.500  0.000
Cu  0.500  0.000  0.500

***

(12)
DFT (PBE) results for crystalline TaCr2Cu at its relaxed geometry.

Properties
**Total magnetic moment**: 0.0 μB per formula unit
**Space group**: P4/mmm (123)
**Formation energy from the elements**: 372 meV per atom

a = 2.575 Å, b = 2.575 Å, c = 8.240 Å
α = 90.00°, β = 90.00°, γ = 90.00°
Element x y z (fractional)
Ta  0.000  0.000  0.000
Cr  0.500  0.500  0.272
Cr  0.500  0.500  0.728
Cu  0.000  0.000  0.500

***

(13)
DFT (PBE) results for crystalline Ta2CrCuTc at its relaxed geometry.

Properties
**Total magnetic moment**: 0.0 μB per formula unit
**Space group**: P4/mmm (123)
**Formation energy from the elements**: 1405 meV per atom

a = 4.658 Å, b = 4.658 Å, c = 4.058 Å
α = 90.00°, β = 90.00°, γ = 90.00°
Element x y z (fractional)
Ta  0.000  0.500  0.000
Ta  0.500  0.000  0.000
Cr  0.000  0.000  0.500
Cu  0.000  0.000  0.000
Tc  0.500  0.500  0.500

***

(14)
DFT (PBE) results for crystalline TaTiCr2Cu at its relaxed geometry.

Properties
**Total magnetic moment**: 5.4 μB per formula unit
**Space group**: P4/mmm (123)
**Formation energy from the elements**: 1570 meV per atom

a = 4.678 Å, b = 4.678 Å, c = 4.787 Å
α = 90.00°, β = 90.00°, γ = 90.00°
Element x y z (fractional)
Ta  0.000  0.000  0.000
Ti  0.000  0.000  0.500
Cr  0.000  0.500  0.000
Cr  0.500  0.000  0.000
Cu  0.500  0.500  0.500

***

(15)
DFT (PBE) results for crystalline Ta2TlCrCu at its relaxed geometry.

Properties
**Total magnetic moment**: 0.0 μB per formula unit
**Space group**: P4/mmm (123)
**Formation energy from the elements**: 1614 meV per atom

a = 4.659 Å, b = 4.659 Å, c = 4.632 Å
α = 90.00°, β = 90.00°, γ = 90.00°
Element x y z (fractional)
Ta  0.000  0.500  0.000
Ta  0.500  0.000  0.000
Tl  0.000  0.000  0.500
Cr  0.500  0.500  0.500
Cu  0.000  0.000  0.000

***

(16)
DFT (PBE) results for crystalline TaZn2CrCu at its relaxed geometry.

Properties
**Total magnetic moment**: 0.0 μB per formula unit
**Space group**: P4/mmm (123)
**Formation energy from the elements**: 1005 meV per atom

a = 4.264 Å, b = 4.264 Å, c = 4.494 Å
α = 90.00°, β = 90.00°, γ = 90.00°
Element x y z (fractional)
Ta  0.000  0.000  0.000
Zn  0.000  0.500  0.500
Zn  0.500  0.000  0.500
Cr  0.500  0.500  0.000
Cu  0.500  0.500  0.500

***

(17)
DFT (PBE) results for crystalline TbCrCu4 at its relaxed geometry.

Properties
**Total magnetic moment**: 4.5 μB per formula unit
**Space group**: F-43m (216)
**Formation energy from the elements**: -18 meV per atom

a = 5.060 Å, b = 5.060 Å, c = 5.060 Å
α = 60.00°, β = 60.00°, γ = 60.00°
Element x y z (fractional)
Tb  0.000  0.000  0.000
Cr  0.250  0.250  0.250
Cu  0.129  0.624  0.624
Cu  0.624  0.129  0.624
Cu  0.624  0.624  0.129
Cu  0.624  0.624  0.624

***

(18)
DFT (PBE) results for crystalline CrCu2Tc at its relaxed geometry.

Properties
**Total magnetic moment**: 0.0 μB per formula unit
**Excess energy over the best structure of this formula in the dataset**: 0.0821 eV per atom
**Space group**: P4/mmm (123)
**Formation energy from the elements**: 276 meV per atom

a = 2.486 Å, b = 2.486 Å, c = 8.161 Å
α = 90.00°, β = 90.00°, γ = 90.00°
Element x y z (fractional)
Cr  0.000  0.000  0.000
Cu  0.500  0.500  0.241
Cu  0.500  0.500  0.759
Tc  0.000  0.000  0.500

***

(19)
DFT (PBE) results for crystalline CrCu2Tc at its relaxed geometry.

Properties
**Total magnetic moment**: 0.0 μB per formula unit
**Excess energy over the best structure of this formula in the dataset**: 0.1812 eV per atom
**Space group**: R-3m (166)
**Formation energy from the elements**: 375 meV per atom

a = 8.905 Å, b = 8.905 Å, c = 8.905 Å
α = 16.73°, β = 16.73°, γ = 16.73°
Element x y z (fractional)
Cr  0.000  0.000  0.000
Cu  0.252  0.252  0.252
Cu  0.748  0.748  0.748
Tc  0.500  0.500  0.500

***

(20)
DFT (PBE) results for crystalline CrCu2Tc at its relaxed geometry.

Properties
**Total magnetic moment**: 0.1 μB per formula unit
**Excess energy over the best structure of this formula in the dataset**: 0.0226 eV per atom
**Space group**: P4/mmm (123)
**Formation energy from the elements**: 217 meV per atom

a = 3.483 Å, b = 3.483 Å, c = 4.125 Å
α = 90.00°, β = 90.00°, γ = 90.00°
Element x y z (fractional)
Cr  0.000  0.000  0.000
Cu  0.000  0.500  0.500
Cu  0.500  0.000  0.500
Tc  0.500  0.500  0.000